(1)
# Sc2SbC | the Alexandria database | PBEsol | optimized geometry
data_Sc2SbC
_chemical_formula_sum 'Sc2 Sb1 C1'
_space_group_name_H-M_alt 'P 1'
_space_group_IT_number 1
_space_group_name_Hall 'P 1'
_cell_length_a 4.3483
_cell_length_b 4.3483
_cell_length_c 7.4627
_cell_angle_alpha 73.06
_cell_angle_beta 73.06
_cell_angle_gamma 60.00
loop_
_atom_site_label
_atom_site_fract_x
_atom_site_fract_y
_atom_site_fract_z
_atom_site_occupancy
Sb1 0.5000 0.5000 0.5000 1
Sc1 0.9048 0.9048 0.2855 1
Sc2 0.0952 0.0952 0.7145 1
C1 0.0000 0.0000 0.0000 1
# formation energy from raw total energies: 517 meV/atom
# SG: R-3m

=====

(2)
# ScSb3C | the Alexandria database | PBEsol | optimized geometry
data_ScSb3C
_chemical_formula_sum 'Sc1 Sb3 C1'
_space_group_name_H-M_alt 'P 1'
_space_group_IT_number 1
_space_group_name_Hall 'P 1'
_cell_length_a 4.7209
_cell_length_b 4.7209
_cell_length_c 4.7209
_cell_angle_alpha 90.00
_cell_angle_beta 90.00
_cell_angle_gamma 90.00
loop_
_atom_site_label
_atom_site_fract_x
_atom_site_fract_y
_atom_site_fract_z
_atom_site_occupancy
Sb1 0.5000 0.0000 0.0000 1
Sb2 0.0000 0.0000 0.5000 1
Sb3 0.0000 0.5000 0.0000 1
C1 0.0000 0.0000 0.0000 1
Sc1 0.5000 0.5000 0.5000 1
# formation energy from raw total energies: 573 meV/atom
# SG: Pm-3m

=====

Record-wise E_tot values, in eV per atom: -6.3357, -5.4112